Density functional theory data (PBE) for a geometry-optimized YTlSiS4 structure.

Cell: 6.4302 6.5829 8.7688 Å, 90.00 107.17 90.00°
Fractional coordinates of all 14 atoms:
1 Y 0.2298 0.2500 0.0519
2 Y 0.7702 0.7500 0.9481
3 Tl 0.2610 0.2500 0.5692
4 Tl 0.7390 0.7500 0.4308
5 Si 0.2246 0.7500 0.8286
6 Si 0.7754 0.2500 0.1714
7 S 0.0040 0.0012 0.7920
8 S 0.0040 0.4988 0.7920
9 S 0.4209 0.7500 0.0712
10 S 0.4207 0.7500 0.6734
11 S 0.5793 0.2500 0.3266
12 S 0.5791 0.2500 0.9288
13 S 0.9960 0.5012 0.2080
14 S 0.9960 0.9988 0.2080

Results
The space-group type is P2_1/m, No. 11. The calculation puts the total energy at -5.5641 eV/atom.

Density functional theory data (PBE) for a geometry-optimized Be8CrFe3 structure.

Cell: 4.1675 4.1675 6.8012 Å, 90.00 90.00 120.00°
Fractional coordinates of all 12 atoms:
1 Be 0.0000 0.0000 0.0000
2 Be 0.0000 0.0000 0.4977
3 Be 0.1700 0.3400 0.7497
4 Be 0.1700 0.8300 0.7497
5 Be 0.3409 0.1704 0.2469
6 Be 0.6600 0.8300 0.7497
7 Be 0.8296 0.1704 0.2469
8 Be 0.8296 0.6591 0.2469
9 Cr 0.6667 0.3333 0.5588
10 Fe 0.3333 0.6667 0.0598
11 Fe 0.3333 0.6667 0.4420
12 Fe 0.6667 0.3333 0.9325

Results
The space-group type is P3m1, No. 156. As for the formation energy: -248 meV per atom.

Density functional theory data (PBE) for a geometry-optimized ZrNi2Te structure.

Cell: 3.4920 3.4920 5.6446 Å, 90.00 90.00 90.00°
Fractional coordinates of all 4 atoms:
1 Zr 0.0000 0.0000 0.0000
2 Ni 0.5000 0.5000 0.2285
3 Ni 0.5000 0.5000 0.7715
4 Te 0.0000 0.0000 0.5000

Results
The space-group type is P4/mmm, No. 123. The calculation puts the total energy at -6.0955 eV/atom.

Density functional theory data (PBE) for a geometry-optimized Li2Si2Pt structure.

Cell: 5.1350 5.1350 5.1350 Å, 133.36 123.38 76.30°
Fractional coordinates of all 5 atoms:
1 Li 0.1910 0.1910 0.0000
2 Li 0.8090 0.8090 0.0000
3 Si 0.2353 0.5000 0.7353
4 Si 0.7647 0.5000 0.2647
5 Pt 0.5000 0.0000 0.5000

Results
The space-group type is Immm, No. 71. The calculation puts the total energy at -4.6588 eV/atom.